Entry from the Alexandria database: NiOs3F after structural relaxation (PBE+U).

abc: 4.165 4.165 4.165
angles: 90.00 90.00 90.00
Positions (direct):
Os1 0.500 0.000 0.000
Os2 0.000 0.000 0.500
F1 0.000 0.000 0.000
Ni1 0.500 0.500 0.500
Os3 0.000 0.500 0.000

## Properties
As for the density of states at the Fermi level: 6.1 states/eV/f.u. As for the total magnetization: 2.0 μB per formula unit. Its energy above the most stable polymorph in this dataset is 0 meV per atom.

***

Entry from the Alexandria database: NiOsF2 after structural relaxation (PBE+U).

abc: 3.984 3.984 3.984
angles: 60.00 60.00 60.00
Positions (direct):
F1 0.750 0.750 0.750
Os1 0.500 0.500 0.500
F2 0.250 0.250 0.250
Ni1 0.000 0.000 0.000

## Properties
As for the density of states at the Fermi level: 7.2 states/eV/f.u. As for the total magnetization: 0.0 μB per formula unit. Its energy above the most stable polymorph in this dataset is 993 meV per atom.